Here is a relaxed CuMo3O crystal from the Alexandria database. Energies are from PBE+U.

The structure in CIF format:
```
data_CuMo3O
_space_group_name_H-M_alt 'P 1'
_space_group_IT_number 1
_cell_length_a 4.995
_cell_length_b 4.995
_cell_length_c 4.995
_cell_angle_alpha 90.00
_cell_angle_beta 90.00
_cell_angle_gamma 90.00
loop_
_space_group_symop_operation_xyz
'x,y,z'
loop_
_atom_site_label
_atom_site_type_symbol
_atom_site_fract_x
_atom_site_fract_y
_atom_site_fract_z
Cu1 Cu 0.000 0.000 0.000
Mo1 Mo 0.000 0.000 0.500
Mo2 Mo 0.000 0.500 0.000
Mo3 Mo 0.500 0.000 0.000
O1 O 0.500 0.500 0.500
```

Size of the total moment: 12.71 μB/f.u.
ΔE to the lowest computed polymorph: 131.6 kJ/mol of atoms
VASP energy: -4.00 eV/atom